(1)
A plane-wave DFT calculation with PBE-GGA was carried out for a relaxed TiSe2BrCl crystal.

## Properties
raw total energy: -4.0129 eV/atom
M_tot: 0.005 μB per atom
E_form (uncorrected): -32.44 kJ/mol of atoms

a b c (Å): 4.9617 4.9617 5.0391
angles (deg): 90.00 90.00 90.00
Space group P4/mmm (No. 123)
Unique sites:
Ti (0.0000, 0.0000, 0.0000)
Se (0.0000, 0.5000, 0.0000)
Br (0.0000, 0.0000, 0.5000)
Cl (0.5000, 0.5000, 0.5000)

(2)
A plane-wave DFT calculation with PBE-GGA was carried out for a relaxed Tl6Se2BrCl2 crystal.

## Properties
raw total energy: -3.0238 eV/atom
M_tot: 0.000 μB per atom
E_form (uncorrected): -59.02 kJ/mol of atoms

a b c (Å): 7.7487 14.0745 7.8671
angles (deg): 90.00 109.99 90.00
Space group C2/m (No. 12)
Unique sites:
Tl (0.2391, 0.0000, 0.2396)
Tl (0.2440, 0.1845, 0.7595)
Se (0.0000, 0.1715, 0.0000)
Br (0.0000, 0.5000, 0.0000)
Cl (0.0000, 0.3425, 0.5000)

(3)
A plane-wave DFT calculation with PBE-GGA was carried out for a relaxed Tl2SeBr2Cl4 crystal.

## Properties
raw total energy: -2.7086 eV/atom
M_tot: 0.000 μB per atom
E_form (uncorrected): -58.20 kJ/mol of atoms

a b c (Å): 7.2360 7.2360 10.3846
angles (deg): 90.00 90.00 90.00
Space group I4/mmm (No. 139)
Unique sites:
Tl (0.0000, 0.5000, 0.2500)
Se (0.0000, 0.0000, 0.0000)
Br (0.0000, 0.0000, 0.2503)
Cl (0.2371, 0.2371, 0.0000)

(4)
A plane-wave DFT calculation with PBE-GGA was carried out for a relaxed Tl4SeBr2Cl crystal.

## Properties
raw total energy: -2.9462 eV/atom
M_tot: 0.000 μB per atom
E_form (uncorrected): -65.46 kJ/mol of atoms

a b c (Å): 8.0380 4.5456 8.0823
angles (deg): 90.00 110.36 90.00
Space group P2/m (No. 10)
Unique sites:
Tl (0.2240, 0.0000, 0.2233)
Tl (0.2590, 0.5000, 0.7607)
Se (0.0000, 0.5000, 0.0000)
Br (0.0000, 0.0000, 0.5000)
Br (0.5000, 0.5000, 0.5000)
Cl (0.5000, 0.0000, 0.0000)

(5)
A plane-wave DFT calculation with PBE-GGA was carried out for a relaxed USeBrCl crystal.

## Properties
raw total energy: -5.6963 eV/atom
M_tot: 0.500 μB per atom
E_form (uncorrected): -108.38 kJ/mol of atoms

a b c (Å): 4.7266 4.7266 20.7241
angles (deg): 90.00 90.00 120.00
Space group R3m (No. 160, hexagonal axes)
Unique sites:
U (0.0000, 0.0000, 0.0000)
Se (0.0000, 0.0000, 0.3604)
Br (0.0000, 0.0000, 0.1305)
Cl (0.0000, 0.0000, 0.6038)

(6)
A plane-wave DFT calculation with PBE-GGA was carried out for a relaxed USe2Br2Cl2 crystal.

## Properties
raw total energy: -4.5192 eV/atom
M_tot: 0.452 μB per atom
E_form (uncorrected): -87.36 kJ/mol of atoms

a b c (Å): 16.9734 4.0633 11.0891
angles (deg): 90.00 128.55 90.00
Space group C2/m (No. 12)
Unique sites:
U (0.0000, 0.0000, 0.0000)
Se (0.0806, 0.0000, 0.5550)
Br (0.0747, 0.5000, 0.9135)
Cl (0.1646, 0.0000, 0.2676)

(7)
A plane-wave DFT calculation with PBE-GGA was carried out for a relaxed WSe2BrCl crystal.

## Properties
raw total energy: -3.0487 eV/atom
M_tot: 0.595 μB per atom
E_form (uncorrected): 158.21 kJ/mol of atoms

a b c (Å): 5.0816 5.0816 4.9022
angles (deg): 90.00 90.00 90.00
Space group P4/mmm (No. 123)
Unique sites:
W (0.0000, 0.0000, 0.0000)
Se (0.0000, 0.5000, 0.5000)
Br (0.5000, 0.5000, 0.0000)
Cl (0.5000, 0.5000, 0.5000)

(8)
A plane-wave DFT calculation with PBE-GGA was carried out for a relaxed WSeBr2Cl crystal.

## Properties
raw total energy: -4.1774 eV/atom
M_tot: 0.000 μB per atom
E_form (uncorrected): 14.34 kJ/mol of atoms

a b c (Å): 5.0624 5.0624 4.8722
angles (deg): 90.00 90.00 90.00
Space group P4/mmm (No. 123)
Unique sites:
W (0.0000, 0.0000, 0.0000)
Se (0.0000, 0.0000, 0.5000)
Br (0.0000, 0.5000, 0.0000)
Cl (0.5000, 0.5000, 0.5000)

(9)
A plane-wave DFT calculation with PBE-GGA was carried out for a relaxed WSeBr2Cl crystal.

## Properties
raw total energy: -2.7448 eV/atom
M_tot: 0.799 μB per atom
E_form (uncorrected): 152.56 kJ/mol of atoms

a b c (Å): 5.0261 5.0261 5.4169
angles (deg): 90.00 90.00 90.00
Space group P4/mmm (No. 123)
Unique sites:
W (0.0000, 0.0000, 0.0000)
Se (0.5000, 0.5000, 0.0000)
Br (0.0000, 0.5000, 0.5000)
Cl (0.5000, 0.5000, 0.5000)

(10)
A plane-wave DFT calculation with PBE-GGA was carried out for a relaxed WSe2BrCl crystal.

## Properties
raw total energy: -4.5333 eV/atom
M_tot: 0.000 μB per atom
E_form (uncorrected): 14.96 kJ/mol of atoms

a b c (Å): 4.8916 4.8916 5.1073
angles (deg): 90.00 90.00 90.00
Space group P4/mmm (No. 123)
Unique sites:
W (0.0000, 0.0000, 0.0000)
Se (0.0000, 0.5000, 0.0000)
Br (0.0000, 0.0000, 0.5000)
Cl (0.5000, 0.5000, 0.5000)

(11)
A plane-wave DFT calculation with PBE-GGA was carried out for a relaxed YSeBr2Cl crystal.

## Properties
raw total energy: -3.0142 eV/atom
M_tot: 0.101 μB per atom
E_form (uncorrected): 1.35 kJ/mol of atoms

a b c (Å): 5.2176 5.2176 5.2499
angles (deg): 90.00 90.00 90.00
Space group P4/mmm (No. 123)
Unique sites:
Y (0.0000, 0.0000, 0.0000)
Se (0.5000, 0.5000, 0.0000)
Br (0.0000, 0.5000, 0.5000)
Cl (0.5000, 0.5000, 0.5000)

(12)
A plane-wave DFT calculation with PBE-GGA was carried out for a relaxed YSeBr2Cl crystal.

## Properties
raw total energy: -3.8756 eV/atom
M_tot: 0.406 μB per atom
E_form (uncorrected): -81.76 kJ/mol of atoms

a b c (Å): 5.4681 5.4681 5.8810
angles (deg): 90.00 90.00 90.00
Space group P4/mmm (No. 123)
Unique sites:
Y (0.0000, 0.0000, 0.0000)
Se (0.0000, 0.0000, 0.5000)
Br (0.0000, 0.5000, 0.0000)
Cl (0.5000, 0.5000, 0.5000)

(13)
A plane-wave DFT calculation with PBE-GGA was carried out for a relaxed ZnSeBr2Cl crystal.

## Properties
raw total energy: -1.3891 eV/atom
M_tot: 0.000 μB per atom
E_form (uncorrected): 57.99 kJ/mol of atoms

a b c (Å): 5.2798 5.2798 5.1038
angles (deg): 90.00 90.00 90.00
Space group P4/mmm (No. 123)
Unique sites:
Zn (0.0000, 0.0000, 0.0000)
Se (0.5000, 0.5000, 0.0000)
Br (0.0000, 0.5000, 0.5000)
Cl (0.5000, 0.5000, 0.5000)

(14)
A plane-wave DFT calculation with PBE-GGA was carried out for a relaxed ZnSeBr2Cl crystal.

## Properties
raw total energy: -1.8077 eV/atom
M_tot: 0.350 μB per atom
E_form (uncorrected): 17.61 kJ/mol of atoms

a b c (Å): 4.9978 4.9978 5.5132
angles (deg): 90.00 90.00 90.00
Space group P4/mmm (No. 123)
Unique sites:
Zn (0.0000, 0.0000, 0.0000)
Se (0.0000, 0.0000, 0.5000)
Br (0.0000, 0.5000, 0.0000)
Cl (0.5000, 0.5000, 0.5000)

(15)
A plane-wave DFT calculation with PBE-GGA was carried out for a relaxed ZrSeBr2Cl crystal.

## Properties
raw total energy: -2.8125 eV/atom
M_tot: 0.284 μB per atom
E_form (uncorrected): 61.03 kJ/mol of atoms

a b c (Å): 4.9380 4.9380 5.7724
angles (deg): 90.00 90.00 90.00
Space group P4/mmm (No. 123)
Unique sites:
Zr (0.0000, 0.0000, 0.0000)
Se (0.5000, 0.5000, 0.0000)
Br (0.0000, 0.5000, 0.5000)
Cl (0.5000, 0.5000, 0.5000)

(16)
A plane-wave DFT calculation with PBE-GGA was carried out for a relaxed ZrSeBr2Cl crystal.

## Properties
raw total energy: -4.1182 eV/atom
M_tot: 0.195 μB per atom
E_form (uncorrected): -64.95 kJ/mol of atoms

a b c (Å): 5.3007 5.3007 5.2686
angles (deg): 90.00 90.00 90.00
Space group P4/mmm (No. 123)
Unique sites:
Zr (0.0000, 0.0000, 0.0000)
Se (0.0000, 0.0000, 0.5000)
Br (0.0000, 0.5000, 0.0000)
Cl (0.5000, 0.5000, 0.5000)

(17)
A plane-wave DFT calculation with PBE-GGA was carried out for a relaxed SiBrCl3 crystal.

## Properties
raw total energy: -3.6617 eV/atom
M_tot: 0.000 μB per atom
E_form (uncorrected): -109.47 kJ/mol of atoms

a b c (Å): 6.8166 8.9517 6.8566
angles (deg): 90.00 107.31 90.00
Space group P2_1/m (No. 11)
Unique sites:
Si (0.1482, 0.2500, 0.3555)
Br (0.2570, 0.2500, 0.6921)
Cl (0.1648, 0.7500, 0.7426)
Cl (0.2542, 0.0646, 0.2468)

(18)
A plane-wave DFT calculation with PBE-GGA was carried out for a relaxed SiBrCl crystal.

## Properties
raw total energy: -3.1271 eV/atom
M_tot: 0.000 μB per atom
E_form (uncorrected): -14.11 kJ/mol of atoms

a b c (Å): 3.7264 7.7411 14.8499
angles (deg): 90.00 90.00 90.00
Space group Fmm2 (No. 42)
Unique sites:
Si (0.0000, 0.0000, 0.0000)
Br (0.0000, 0.0000, 0.3738)
Cl (0.0000, 0.0000, 0.6132)

(19)
A plane-wave DFT calculation with PBE-GGA was carried out for a relaxed SiBrCl crystal.

## Properties
raw total energy: -3.1163 eV/atom
M_tot: 0.000 μB per atom
E_form (uncorrected): -13.07 kJ/mol of atoms

a b c (Å): 6.6972 6.6972 6.6972
angles (deg): 90.00 90.00 90.00
Space group F-43m (No. 216)
Unique sites:
Si (0.0000, 0.0000, 0.0000)
Br (0.2500, 0.2500, 0.2500)
Cl (0.2500, 0.2500, 0.7500)

(20)
A plane-wave DFT calculation with PBE-GGA was carried out for a relaxed SiBr4Cl crystal.

## Properties
raw total energy: -1.5705 eV/atom
M_tot: 0.000 μB per atom
E_form (uncorrected): 72.98 kJ/mol of atoms

a b c (Å): 8.6079 8.6079 8.6079
angles (deg): 90.00 90.00 90.00
Space group F-43m (No. 216)
Unique sites:
Si (0.0000, 0.0000, 0.0000)
Br (0.1250, 0.1250, 0.6250)
Cl (0.2500, 0.2500, 0.2500)